[1]
DFT (PBE) results for an optimized crystal structure of NaZrHg2Mo.

The value obtained for the formation energy from the elements is 1.573 eV/atom. The density of states at the Fermi level is 5.08 states/eV/f.u. As for the total energy: -2.687 eV per atom.

The structure belongs to space group P4/mmm (No. 123); the cell edges are 5.504, 5.504 and 5.822 Å and the angles 90.00°, 90.00° and 90.00°. Symmetry generates all atoms from Na at (0.000, 0.000, 0.000), Zr at (0.000, 0.000, 0.500), Hg at (0.000, 0.500, 0.500) and Mo at (0.500, 0.500, 0.000).

---

[2]
DFT (PBE) results for an optimized crystal structure of NbHg3Mo.

The value obtained for the formation energy from the elements is 1.508 eV/atom. The density of states at the Fermi level is 4.60 states/eV/f.u. Its distance to the lowest polymorph of the same formula is 0.000 eV per atom. As for the total energy: -2.853 eV per atom.

The structure belongs to space group Pm-3m (No. 221); the cell edges are 5.231, 5.231 and 5.231 Å and the angles 90.00°, 90.00° and 90.00°. Symmetry generates all atoms from Nb at (0.000, 0.000, 0.000), Hg at (0.000, 0.500, 0.500) and Mo at (0.500, 0.500, 0.500).

---

> What is the density of states at the Fermi level in the first record?

5.08 states/eV/f.u.